a.
{
  "formula": "Sc3SiO",
  "functional": "PBE",
  "state": "relaxed",
  "sg": "P2_1/m",
  "n_ef_per_ev_cell": 6.5,
  "m_tot_mub_per_cell": 0.00,
  "lattice_angstrom": [[5.9300, 0.0000, 0.0000], [0.0000, 4.3372, 0.0000], [-1.1443, 0.0000, 6.8362]],
  "species": ["Sc", "Sc", "Sc", "Sc", "Sc", "Sc", "Si", "Si", "O", "O"],
  "frac_coords": [[0.0332, 0.2500, 0.1316], [0.1891, 0.2500, 0.5719], [0.4585, 0.7500, 0.8439], [0.5415, 0.2500, 0.1561], [0.8109, 0.7500, 0.4281], [0.9668, 0.7500, 0.8684], [0.3031, 0.7500, 0.2332], [0.6969, 0.2500, 0.7668], [0.1480, 0.7500, 0.6386], [0.8520, 0.2500, 0.3614]]
}

=====

b.
{
  "formula": "Sc3SiO",
  "functional": "PBE",
  "state": "relaxed",
  "sg": "Pm-3m",
  "n_ef_per_ev_cell": 5.4,
  "m_tot_mub_per_cell": 0.00,
  "lattice_angstrom": [[4.3238, 0.0000, 0.0000], [0.0000, 4.3238, 0.0000], [0.0000, 0.0000, 4.3238]],
  "species": ["Sc", "Sc", "Sc", "Si", "O"],
  "frac_coords": [[0.0000, 0.0000, 0.5000], [0.0000, 0.5000, 0.0000], [0.5000, 0.0000, 0.0000], [0.5000, 0.5000, 0.5000], [0.0000, 0.0000, 0.0000]]
}

=====

Energy ordering: b at the bottom, the next structure 0.085 eV/atom above.

=====

a.
{
  "formula": "Sm3ScO6",
  "functional": "PBE",
  "state": "relaxed",
  "sg": "R-3",
  "n_ef_per_ev_cell": 0.0,
  "m_tot_mub_per_cell": 0.00,
  "lattice_angstrom": [[4.8678, 2.8104, 3.7459], [-4.8678, 2.8104, 3.7459], [0.0000, -5.6208, 3.7459]],
  "species": ["Sm", "Sm", "Sm", "Sm", "Sm", "Sm", "Sc", "Sc", "O", "O", "O", "O", "O", "O", "O", "O", "O", "O", "O", "O"],
  "frac_coords": [[0.0612, 0.7535, 0.5682], [0.2465, 0.4318, 0.9388], [0.4318, 0.9388, 0.2465], [0.5682, 0.0612, 0.7535], [0.7535, 0.5682, 0.0612], [0.9388, 0.2465, 0.4318], [0.0000, 0.0000, 0.0000], [0.5000, 0.5000, 0.5000], [0.0383, 0.6984, 0.9096], [0.0904, 0.9617, 0.3016], [0.1976, 0.4332, 0.5830], [0.3016, 0.0904, 0.9617], [0.4170, 0.8024, 0.5668], [0.4332, 0.5830, 0.1976], [0.5668, 0.4170, 0.8024], [0.5830, 0.1976, 0.4332], [0.6985, 0.9096, 0.0383], [0.8024, 0.5668, 0.4170], [0.9096, 0.0383, 0.6984], [0.9617, 0.3016, 0.0904]]
}

=====

b.
{
  "formula": "Sm3ScO6",
  "functional": "PBE",
  "state": "relaxed",
  "sg": "Cmc2_1",
  "n_ef_per_ev_cell": 0.0,
  "m_tot_mub_per_cell": 0.00,
  "lattice_angstrom": [[4.5989, -5.6872, 0.0000], [4.5989, 5.6872, 0.0000], [0.0000, 0.0000, 5.6845]],
  "species": ["Sm", "Sm", "Sm", "Sm", "Sm", "Sm", "Sc", "Sc", "O", "O", "O", "O", "O", "O", "O", "O", "O", "O", "O", "O"],
  "frac_coords": [[0.1030, 0.8970, 0.5000], [0.1951, 0.4134, 0.4514], [0.4134, 0.1951, 0.9514], [0.5866, 0.8049, 0.4514], [0.8049, 0.5866, 0.9514], [0.8970, 0.1030, 0.0000], [0.3252, 0.6748, 0.9288], [0.6748, 0.3252, 0.4288], [0.0880, 0.6008, 0.7537], [0.1464, 0.1739, 0.7263], [0.1739, 0.1464, 0.2263], [0.2799, 0.7201, 0.2753], [0.3992, 0.9120, 0.7537], [0.4732, 0.5268, 0.7167], [0.5268, 0.4732, 0.2167], [0.6008, 0.0880, 0.2537], [0.7201, 0.2799, 0.7753], [0.8261, 0.8536, 0.7263], [0.8536, 0.8261, 0.2263], [0.9120, 0.3992, 0.2537]]
}

=====

Energy ordering: a at the bottom, the next structure 0.053 eV/atom above.

=====

a.
{
  "formula": "Sc4Sn2O",
  "functional": "PBE",
  "state": "relaxed",
  "sg": "I4/mmm",
  "n_ef_per_ev_cell": 7.2,
  "m_tot_mub_per_cell": 0.88,
  "lattice_angstrom": [[-2.1541, 2.1541, 7.7340], [2.1541, -2.1541, 7.7340], [2.1541, 2.1541, -7.7340]],
  "species": ["Sc", "Sc", "Sc", "Sc", "Sn", "Sn", "O"],
  "frac_coords": [[0.0000, 0.5000, 0.5000], [0.1642, 0.1642, 0.0000], [0.5000, 0.0000, 0.5000], [0.8358, 0.8358, 0.0000], [0.3571, 0.3571, 0.0000], [0.6429, 0.6429, 0.0000], [0.0000, 0.0000, 0.0000]]
}

=====

b.
{
  "formula": "Sc4Sn2O",
  "functional": "PBE",
  "state": "relaxed",
  "sg": "Pbam",
  "n_ef_per_ev_cell": 9.7,
  "m_tot_mub_per_cell": 0.00,
  "lattice_angstrom": [[7.7359, 0.0000, 0.0000], [0.0000, 10.8701, 0.0000], [0.0000, 0.0000, 3.3868]],
  "species": ["Sc", "Sc", "Sc", "Sc", "Sc", "Sc", "Sc", "Sc", "Sn", "Sn", "Sn", "Sn", "O", "O"],
  "frac_coords": [[0.1285, 0.1810, 0.0000], [0.1735, 0.9334, 0.5000], [0.3265, 0.4334, 0.5000], [0.3715, 0.6810, 0.0000], [0.6285, 0.3190, 0.0000], [0.6735, 0.5666, 0.5000], [0.8265, 0.0666, 0.5000], [0.8715, 0.8190, 0.0000], [0.0605, 0.6417, 0.5000], [0.4395, 0.1417, 0.5000], [0.5605, 0.8583, 0.5000], [0.9395, 0.3583, 0.5000], [0.0000, 0.0000, 0.0000], [0.5000, 0.5000, 0.0000]]
}

=====

Energy ordering: a at the bottom, the next structure 0.122 eV/atom above.

=====

a.
{
  "formula": "Zr2ScSnO",
  "functional": "PBE",
  "state": "relaxed",
  "sg": "P4/mmm",
  "n_ef_per_ev_cell": 6.8,
  "m_tot_mub_per_cell": 0.00,
  "lattice_angstrom": [[4.5994, 0.0000, 0.0000], [0.0000, 4.5994, 0.0000], [0.0000, 0.0000, 4.3086]],
  "species": ["Zr", "Zr", "Sc", "Sn", "O"],
  "frac_coords": [[0.0000, 0.5000, 0.0000], [0.5000, 0.0000, 0.0000], [0.0000, 0.0000, 0.5000], [0.5000, 0.5000, 0.5000], [0.0000, 0.0000, 0.0000]]
}

=====

b.
{
  "formula": "Zr2ScSnO",
  "functional": "PBE",
  "state": "relaxed",
  "sg": "P4/mmm",
  "n_ef_per_ev_cell": 5.2,
  "m_tot_mub_per_cell": 0.00,
  "lattice_angstrom": [[5.4793, 0.0000, 0.0000], [0.0000, 5.4793, 0.0000], [0.0000, 0.0000, 3.8028]],
  "species": ["Zr", "Zr", "Sc", "Sn", "O"],
  "frac_coords": [[0.0000, 0.5000, 0.0000], [0.5000, 0.0000, 0.0000], [0.0000, 0.0000, 0.0000], [0.5000, 0.5000, 0.5000], [0.0000, 0.0000, 0.5000]]
}

=====

Energy ordering: a at the bottom, the next structure 1.143 eV/atom above.

=====

a.
{
  "formula": "SrScO2",
  "functional": "PBE",
  "state": "relaxed",
  "sg": "R3m",
  "n_ef_per_ev_cell": 1.5,
  "m_tot_mub_per_cell": 0.47,
  "lattice_angstrom": [[1.6481, 0.9515, 5.9956], [-1.6481, 0.9515, 5.9956], [0.0000, -1.9031, 5.9956]],
  "species": ["Sr", "Sc", "O", "O"],
  "frac_coords": [[0.0000, 0.0000, 0.0000], [0.8266, 0.8266, 0.8266], [0.2272, 0.2272, 0.2272], [0.4307, 0.4307, 0.4307]]
}

=====

b.
{
  "formula": "SrScO2",
  "functional": "PBE",
  "state": "relaxed",
  "sg": "R-3m",
  "n_ef_per_ev_cell": 1.3,
  "m_tot_mub_per_cell": 0.10,
  "lattice_angstrom": [[1.6695, 0.9639, 6.7518], [-1.6695, 0.9639, 6.7518], [0.0000, -1.9277, 6.7518]],
  "species": ["Sr", "Sc", "O", "O"],
  "frac_coords": [[0.0000, 0.0000, 0.0000], [0.5000, 0.5000, 0.5000], [0.1163, 0.1163, 0.1163], [0.8837, 0.8837, 0.8837]]
}

=====

Energy ordering: a at the bottom, the next structure 0.100 eV/atom above.

=====

a.
{
  "formula": "SrScO2",
  "functional": "PBE",
  "state": "relaxed",
  "sg": "Fm-3m",
  "n_ef_per_ev_cell": 2.3,
  "m_tot_mub_per_cell": 0.85,
  "lattice_angstrom": [[0.0000, 2.9649, 2.9649], [2.9649, 0.0000, 2.9649], [2.9649, 2.9649, 0.0000]],
  "species": ["Sr", "Sc", "O", "O"],
  "frac_coords": [[0.0000, 0.0000, 0.0000], [0.5000, 0.5000, 0.5000], [0.2500, 0.2500, 0.2500], [0.7500, 0.7500, 0.7500]]
}

=====

b.
{
  "formula": "SrScO2",
  "functional": "PBE",
  "state": "relaxed",
  "sg": "I-42d",
  "n_ef_per_ev_cell": 4.4,
  "m_tot_mub_per_cell": 1.76,
  "lattice_angstrom": [[-2.6703, 2.6703, 5.0906], [2.6703, -2.6703, 5.0906], [2.6703, 2.6703, -5.0906]],
  "species": ["Sr", "Sr", "Sc", "Sc", "O", "O", "O", "O"],
  "frac_coords": [[0.0000, 0.0000, 0.0000], [0.7500, 0.2500, 0.5000], [0.2500, 0.7500, 0.5000], [0.5000, 0.5000, 0.0000], [0.1935, 0.6250, 0.0685], [0.3750, 0.4435, 0.5685], [0.5565, 0.1250, 0.9315], [0.8750, 0.8065, 0.4315]]
}

=====

Energy ordering: b at the bottom, the next structure 0.609 eV/atom above.

=====

a.
{
  "formula": "ScTaO2",
  "functional": "PBE",
  "state": "relaxed",
  "sg": "R-3m",
  "n_ef_per_ev_cell": 2.3,
  "m_tot_mub_per_cell": 0.00,
  "lattice_angstrom": [[1.5915, 0.9189, 6.1107], [-1.5915, 0.9189, 6.1107], [0.0000, -1.8378, 6.1107]],
  "species": ["Sc", "Ta", "O", "O"],
  "frac_coords": [[0.0000, 0.0000, 0.0000], [0.5000, 0.5000, 0.5000], [0.3903, 0.3903, 0.3903], [0.6097, 0.6097, 0.6097]]
}

=====

b.
{
  "formula": "ScTaO2",
  "functional": "PBE",
  "state": "relaxed",
  "sg": "I-42d",
  "n_ef_per_ev_cell": 9.2,
  "m_tot_mub_per_cell": 0.00,
  "lattice_angstrom": [[-2.4583, 2.4583, 4.6848], [2.4583, -2.4583, 4.6848], [2.4583, 2.4583, -4.6848]],
  "species": ["Sc", "Sc", "Ta", "Ta", "O", "O", "O", "O"],
  "frac_coords": [[0.0000, 0.0000, 0.0000], [0.7500, 0.2500, 0.5000], [0.2500, 0.7500, 0.5000], [0.5000, 0.5000, 0.0000], [0.1222, 0.6250, 0.9972], [0.3750, 0.3722, 0.4972], [0.6278, 0.1250, 0.0028], [0.8750, 0.8778, 0.5028]]
}

=====

c.
{
  "formula": "ScTaO2",
  "functional": "PBE",
  "state": "relaxed",
  "sg": "Fm-3m",
  "n_ef_per_ev_cell": 0.4,
  "m_tot_mub_per_cell": 0.00,
  "lattice_angstrom": [[0.0000, 2.7736, 2.7736], [2.7736, 0.0000, 2.7736], [2.7736, 2.7736, 0.0000]],
  "species": ["Sc", "Ta", "O", "O"],
  "frac_coords": [[0.0000, 0.0000, 0.0000], [0.5000, 0.5000, 0.5000], [0.2500, 0.2500, 0.2500], [0.7500, 0.7500, 0.7500]]
}

=====

Energy ordering: a at the bottom, the next structure 0.497 eV/atom above.

=====

a.
{
  "formula": "ScTc3O",
  "functional": "PBE",
  "state": "relaxed",
  "sg": "Pm-3m",
  "n_ef_per_ev_cell": 7.3,
  "m_tot_mub_per_cell": 5.58,
  "lattice_angstrom": [[4.6477, 0.0000, 0.0000], [0.0000, 4.6477, 0.0000], [0.0000, 0.0000, 4.6477]],
  "species": ["Sc", "Tc", "Tc", "Tc", "O"],
  "frac_coords": [[0.0000, 0.0000, 0.0000], [0.0000, 0.0000, 0.5000], [0.0000, 0.5000, 0.0000], [0.5000, 0.0000, 0.0000], [0.5000, 0.5000, 0.5000]]
}

=====

b.
{
  "formula": "ScTc3O",
  "functional": "PBE",
  "state": "relaxed",
  "sg": "Pm-3m",
  "n_ef_per_ev_cell": 6.9,
  "m_tot_mub_per_cell": 0.00,
  "lattice_angstrom": [[4.1399, 0.0000, 0.0000], [0.0000, 4.1399, 0.0000], [0.0000, 0.0000, 4.1399]],
  "species": ["Sc", "Tc", "Tc", "Tc", "O"],
  "frac_coords": [[0.0000, 0.0000, 0.0000], [0.0000, 0.5000, 0.5000], [0.5000, 0.0000, 0.5000], [0.5000, 0.5000, 0.0000], [0.5000, 0.5000, 0.5000]]
}

=====

Energy ordering: b at the bottom, the next structure 2.698 eV/atom above.

=====

a.
{
  "formula": "ScTcO4",
  "functional": "PBE",
  "state": "relaxed",
  "sg": "Pnc2",
  "n_ef_per_ev_cell": 5.8,
  "m_tot_mub_per_cell": 3.47,
  "lattice_angstrom": [[5.2391, 0.0000, 0.0000], [0.0000, 4.6841, 0.0000], [0.0000, 0.0000, 5.6772]],
  "species": ["Sc", "Sc", "Tc", "Tc", "O", "O", "O", "O", "O", "O", "O", "O"],
  "frac_coords": [[0.0000, 0.0000, 0.0000], [0.0000, 0.5000, 0.5000], [0.5000, 0.0000, 0.3089], [0.5000, 0.5000, 0.8089], [0.1826, 0.2111, 0.2855], [0.1826, 0.2889, 0.7855], [0.3503, 0.7428, 0.5471], [0.3503, 0.7572, 0.0471], [0.6497, 0.2428, 0.0471], [0.6497, 0.2572, 0.5471], [0.8174, 0.7111, 0.7855], [0.8174, 0.7889, 0.2855]]
}

=====

b.
{
  "formula": "ScTcO4",
  "functional": "PBE",
  "state": "relaxed",
  "sg": "I4_1md",
  "n_ef_per_ev_cell": 4.3,
  "m_tot_mub_per_cell": 2.28,
  "lattice_angstrom": [[-3.3552, 3.3552, 3.1197], [3.3552, -3.3552, 3.1197], [3.3552, 3.3552, -3.1197]],
  "species": ["Sc", "Sc", "Tc", "Tc", "O", "O", "O", "O", "O", "O", "O", "O"],
  "frac_coords": [[0.0000, 0.0000, 0.0000], [0.7500, 0.2500, 0.5000], [0.2393, 0.7393, 0.5000], [0.4893, 0.4893, 0.0000], [0.0072, 0.3140, 0.3068], [0.0072, 0.7003, 0.6932], [0.0640, 0.2572, 0.8068], [0.4503, 0.2572, 0.1932], [0.4718, 0.1746, 0.7028], [0.4718, 0.7691, 0.2972], [0.5191, 0.7218, 0.7972], [0.9246, 0.7218, 0.2028]]
}

=====

Energy ordering: b at the bottom, the next structure 0.012 eV/atom above.

=====

a.
{
  "formula": "ScTeO4",
  "functional": "PBE",
  "state": "relaxed",
  "sg": "P2_1/m",
  "n_ef_per_ev_cell": 2.9,
  "m_tot_mub_per_cell": 0.00,
  "lattice_angstrom": [[4.0283, 0.0000, 0.0000], [0.0000, 6.9590, 0.0000], [-2.0045, 0.0000, 5.9667]],
  "species": ["Sc", "Sc", "Te", "Te", "O", "O", "O", "O", "O", "O", "O", "O"],
  "frac_coords": [[0.0580, 0.2500, 0.1151], [0.9420, 0.7500, 0.8849], [0.2129, 0.7500, 0.4248], [0.7871, 0.2500, 0.5752], [0.0947, 0.5639, 0.1878], [0.0947, 0.9361, 0.1878], [0.2571, 0.2500, 0.5150], [0.3906, 0.7500, 0.7819], [0.6094, 0.2500, 0.2181], [0.7429, 0.7500, 0.4850], [0.9053, 0.0639, 0.8122], [0.9053, 0.4361, 0.8122]]
}

=====

b.
{
  "formula": "ScTeO4",
  "functional": "PBE",
  "state": "relaxed",
  "sg": "Pnc2",
  "n_ef_per_ev_cell": 3.4,
  "m_tot_mub_per_cell": 0.00,
  "lattice_angstrom": [[5.2886, 0.0000, 0.0000], [0.0000, 4.8982, 0.0000], [0.0000, 0.0000, 5.8480]],
  "species": ["Sc", "Sc", "Te", "Te", "O", "O", "O", "O", "O", "O", "O", "O"],
  "frac_coords": [[0.0000, 0.0000, 0.0000], [0.0000, 0.5000, 0.5000], [0.5000, 0.0000, 0.3345], [0.5000, 0.5000, 0.8345], [0.1771, 0.2182, 0.2892], [0.1771, 0.2818, 0.7892], [0.3382, 0.7348, 0.5752], [0.3382, 0.7652, 0.0752], [0.6618, 0.2348, 0.0752], [0.6618, 0.2652, 0.5752], [0.8229, 0.7182, 0.7892], [0.8229, 0.7818, 0.2892]]
}

=====

Energy ordering: b at the bottom, the next structure 0.075 eV/atom above.

=====

a.
{
  "formula": "ScTi3O",
  "functional": "PBE",
  "state": "relaxed",
  "sg": "Pm-3m",
  "n_ef_per_ev_cell": 9.1,
  "m_tot_mub_per_cell": 1.64,
  "lattice_angstrom": [[4.6681, 0.0000, 0.0000], [0.0000, 4.6681, 0.0000], [0.0000, 0.0000, 4.6681]],
  "species": ["Sc", "Ti", "Ti", "Ti", "O"],
  "frac_coords": [[0.0000, 0.0000, 0.0000], [0.0000, 0.0000, 0.5000], [0.0000, 0.5000, 0.0000], [0.5000, 0.0000, 0.0000], [0.5000, 0.5000, 0.5000]]
}

=====

b.
{
  "formula": "ScTi3O",
  "functional": "PBE",
  "state": "relaxed",
  "sg": "Pm-3m",
  "n_ef_per_ev_cell": 6.1,
  "m_tot_mub_per_cell": 0.00,
  "lattice_angstrom": [[4.2479, 0.0000, 0.0000], [0.0000, 4.2479, 0.0000], [0.0000, 0.0000, 4.2479]],
  "species": ["Sc", "Ti", "Ti", "Ti", "O"],
  "frac_coords": [[0.0000, 0.0000, 0.0000], [0.0000, 0.5000, 0.5000], [0.5000, 0.0000, 0.5000], [0.5000, 0.5000, 0.0000], [0.5000, 0.5000, 0.5000]]
}

=====

Energy ordering: b at the bottom, the next structure 2.612 eV/atom above.

=====

a.
{
  "formula": "Sc3TiO",
  "functional": "PBE",
  "state": "relaxed",
  "sg": "Pm-3m",
  "n_ef_per_ev_cell": 4.5,
  "m_tot_mub_per_cell": 0.00,
  "lattice_angstrom": [[4.8998, 0.0000, 0.0000], [0.0000, 4.8998, 0.0000], [0.0000, 0.0000, 4.8998]],
  "species": ["Sc", "Sc", "Sc", "Ti", "O"],
  "frac_coords": [[0.0000, 0.0000, 0.5000], [0.0000, 0.5000, 0.0000], [0.5000, 0.0000, 0.0000], [0.0000, 0.0000, 0.0000], [0.5000, 0.5000, 0.5000]]
}

=====

b.
{
  "formula": "Sc3TiO",
  "functional": "PBE",
  "state": "relaxed",
  "sg": "Pm-3m",
  "n_ef_per_ev_cell": 6.4,
  "m_tot_mub_per_cell": 2.59,
  "lattice_angstrom": [[4.4717, 0.0000, 0.0000], [0.0000, 4.4717, 0.0000], [0.0000, 0.0000, 4.4717]],
  "species": ["Sc", "Sc", "Sc", "Ti", "O"],
  "frac_coords": [[0.0000, 0.0000, 0.5000], [0.0000, 0.5000, 0.0000], [0.5000, 0.0000, 0.0000], [0.5000, 0.5000, 0.5000], [0.0000, 0.0000, 0.0000]]
}

=====

Energy ordering: b at the bottom, the next structure 1.939 eV/atom above.